No. 1
{
  "formula": "Ga2Cu8Ni",
  "functional": "GGA-PBE",
  "state": "optimized geometry",
  "space_group": "C2/m",
  "magmom_total_mub_per_fu": 0.00,
  "dos_at_fermi_per_ev_cell": 4.70,
  "lattice": [[-3.701, -0.167, 2.132], [-2.349, -5.941, 1.760], [1.693, -2.621, 5.886]],
  "species": ["Cu", "Cu", "Cu", "Cu", "Cu", "Cu", "Cu", "Cu", "Ga", "Ga", "Ni"],
  "fractional_positions": [[0.500, 0.207, 0.586], [0.870, 0.097, 0.219], [0.500, 0.793, 0.414], [0.130, 0.903, 0.781], [0.870, 0.316, 0.781], [0.687, 0.596, 0.000], [0.130, 0.684, 0.219], [0.313, 0.404, 0.000], [0.000, 0.307, 0.386], [0.000, 0.693, 0.614], [0.500, 0.000, 0.000]]
}

No. 2
{
  "formula": "GaCu6Ni",
  "functional": "GGA-PBE",
  "state": "optimized geometry",
  "space_group": "I4/mmm",
  "magmom_total_mub_per_fu": 0.00,
  "dos_at_fermi_per_ev_cell": 3.19,
  "e_above_lowest_polymorph_ev_per_atom": 0.000,
  "lattice": [[3.443, 0.000, 1.037], [-0.312, 3.429, 1.037], [-0.489, -0.536, 7.859]],
  "species": ["Cu", "Cu", "Cu", "Cu", "Cu", "Cu", "Ni", "Ga"],
  "fractional_positions": [[0.747, 0.747, 0.505], [0.127, 0.627, 0.747], [0.873, 0.373, 0.253], [0.253, 0.253, 0.495], [0.627, 0.127, 0.747], [0.373, 0.873, 0.253], [0.500, 0.500, 0.000], [0.000, 0.000, 0.000]]
}

No. 3
{
  "formula": "Ga2CuNi4",
  "functional": "GGA-PBE",
  "state": "optimized geometry",
  "space_group": "I4/mmm",
  "magmom_total_mub_per_fu": 0.00,
  "dos_at_fermi_per_ev_cell": 3.84,
  "e_above_lowest_polymorph_ev_per_atom": 0.155,
  "lattice": [[-0.957, 0.991, 4.201], [3.467, -2.387, 1.353], [1.579, 4.651, -3.064]],
  "species": ["Ga", "Ga", "Ni", "Ni", "Ni", "Ni", "Cu"],
  "fractional_positions": [[0.361, 0.361, 0.721], [0.639, 0.639, 0.279], [0.500, 0.000, 0.000], [0.000, 0.500, 0.000], [0.750, 0.250, 0.500], [0.250, 0.750, 0.500], [0.000, 0.000, 0.000]]
}

No. 4
{
  "formula": "Ga4CuNi5",
  "functional": "GGA-PBE",
  "state": "optimized geometry",
  "space_group": "P4/mmm",
  "magmom_total_mub_per_fu": 0.00,
  "dos_at_fermi_per_ev_cell": 4.59,
  "lattice": [[-1.638, -2.439, -0.384], [2.467, -1.633, -0.151], [-0.412, -1.888, 13.740]],
  "species": ["Ni", "Ni", "Ni", "Ni", "Ni", "Ga", "Ga", "Ga", "Ga", "Cu"],
  "fractional_positions": [[0.500, 0.500, 0.901], [0.500, 0.500, 0.296], [0.500, 0.500, 0.704], [0.500, 0.500, 0.099], [0.500, 0.500, 0.500], [0.000, 0.000, 0.602], [0.000, 0.000, 0.807], [0.000, 0.000, 0.193], [0.000, 0.000, 0.398], [0.000, 0.000, 0.000]]
}

No. 5
{
  "formula": "Ga4Cu4Ni",
  "functional": "GGA-PBE",
  "state": "optimized geometry",
  "space_group": "I4/mmm",
  "magmom_total_mub_per_fu": 0.00,
  "dos_at_fermi_per_ev_cell": 2.04,
  "lattice": [[-3.798, 0.522, 0.056], [-2.017, -1.183, 5.465], [-1.138, 5.645, 1.475]],
  "species": ["Cu", "Cu", "Cu", "Cu", "Ga", "Ga", "Ga", "Ga", "Ni"],
  "fractional_positions": [[0.335, 0.330, 0.000], [0.665, 0.670, 0.000], [0.335, 0.000, 0.330], [0.665, 0.000, 0.670], [0.000, 0.687, 0.313], [0.313, 0.687, 0.687], [0.687, 0.313, 0.313], [0.000, 0.313, 0.687], [0.000, 0.000, 0.000]]
}

No. 6
{
  "formula": "Ga3Cu2Ni7",
  "functional": "GGA-PBE",
  "state": "optimized geometry",
  "space_group": "P2/m",
  "magmom_total_mub_per_fu": 1.02,
  "dos_at_fermi_per_ev_cell": 11.26,
  "lattice": [[2.604, 0.000, 0.000], [0.000, 4.085, -0.142], [0.000, 0.588, 14.270]],
  "species": ["Ni", "Ni", "Ni", "Ni", "Ni", "Ni", "Ni", "Cu", "Cu", "Ga", "Ga", "Ga"],
  "fractional_positions": [[0.000, 0.000, 0.000], [0.500, 0.115, 0.155], [0.500, 0.885, 0.845], [0.000, 0.386, 0.861], [0.500, 0.755, 0.446], [0.000, 0.614, 0.139], [0.500, 0.245, 0.554], [0.500, 0.384, 0.719], [0.500, 0.616, 0.281], [0.500, 0.500, 0.000], [0.000, 0.756, 0.603], [0.000, 0.244, 0.397]]
}

No. 7
{
  "formula": "Ga2CuNi8",
  "functional": "GGA-PBE",
  "state": "optimized geometry",
  "space_group": "C2/m",
  "magmom_total_mub_per_fu": 1.47,
  "dos_at_fermi_per_ev_cell": 15.24,
  "e_above_lowest_polymorph_ev_per_atom": 0.036,
  "lattice": [[-2.991, 0.811, 2.190], [1.332, -4.733, 3.548], [2.979, 4.763, 2.281]],
  "species": ["Ni", "Ni", "Ni", "Ni", "Ni", "Ni", "Ni", "Ni", "Ga", "Ga", "Cu"],
  "fractional_positions": [[0.002, 0.039, 0.301], [0.498, 0.668, 0.668], [0.500, 0.241, 0.759], [0.502, 0.332, 0.332], [0.998, 0.699, 0.961], [0.500, 0.759, 0.241], [0.998, 0.961, 0.699], [0.002, 0.301, 0.039], [0.000, 0.629, 0.371], [0.000, 0.371, 0.629], [0.500, 0.000, 0.000]]
}

No. 8
{
  "formula": "GaCuNi5",
  "functional": "GGA-PBE",
  "state": "optimized geometry",
  "space_group": "Cmmm",
  "magmom_total_mub_per_fu": 1.25,
  "dos_at_fermi_per_ev_cell": 8.83,
  "e_above_lowest_polymorph_ev_per_atom": 0.000,
  "lattice": [[-2.858, 2.253, 2.271], [-1.656, -0.802, -3.875], [-1.961, -4.210, 1.710]],
  "species": ["Ni", "Ni", "Ni", "Ni", "Ni", "Cu", "Ga"],
  "fractional_positions": [[0.500, 0.000, 0.245], [0.000, 0.000, 0.500], [0.000, 0.500, 0.755], [0.500, 0.000, 0.755], [0.000, 0.500, 0.245], [0.000, 0.000, 0.000], [0.500, 0.500, 0.500]]
}

No. 9
{
  "formula": "GaCuNi",
  "functional": "GGA-PBE",
  "state": "optimized geometry",
  "space_group": "Amm2",
  "magmom_total_mub_per_fu": 0.00,
  "dos_at_fermi_per_ev_cell": 6.56,
  "e_above_lowest_polymorph_ev_per_atom": 0.042,
  "lattice": [[-2.600, -3.235, 0.922], [2.272, 0.305, 7.474], [-3.283, 2.889, 0.880]],
  "species": ["Ga", "Ga", "Ga", "Ga", "Cu", "Cu", "Cu", "Cu", "Ni", "Ni", "Ni", "Ni"],
  "fractional_positions": [[0.500, 0.000, 0.403], [0.000, 0.500, 0.519], [0.500, 0.500, 0.903], [0.000, 0.000, 0.019], [0.500, 0.830, 0.884], [0.500, 0.170, 0.884], [0.500, 0.670, 0.384], [0.500, 0.330, 0.384], [0.000, 0.665, 0.028], [0.000, 0.835, 0.528], [0.000, 0.335, 0.028], [0.000, 0.165, 0.528]]
}

No. 10
{
  "formula": "Ga4CuNi",
  "functional": "GGA-PBE",
  "state": "optimized geometry",
  "space_group": "C2/c",
  "magmom_total_mub_per_fu": 0.00,
  "dos_at_fermi_per_ev_cell": 4.04,
  "e_above_lowest_polymorph_ev_per_atom": 0.064,
  "lattice": [[-0.375, 0.081, 5.204], [-6.207, -2.583, -1.145], [5.298, -3.671, -1.807]],
  "species": ["Ni", "Ni", "Ga", "Ga", "Ga", "Ga", "Ga", "Ga", "Ga", "Ga", "Cu", "Cu"],
  "fractional_positions": [[0.240, 0.990, 0.980], [0.760, 0.010, 0.020], [0.782, 0.692, 0.642], [0.686, 0.384, 0.157], [0.361, 0.951, 0.642], [0.218, 0.308, 0.358], [0.972, 0.773, 0.157], [0.639, 0.049, 0.358], [0.028, 0.227, 0.843], [0.314, 0.616, 0.843], [0.620, 0.370, 0.740], [0.380, 0.630, 0.260]]
}

No. 11
{
  "formula": "Ga6CuNi",
  "functional": "GGA-PBE",
  "state": "optimized geometry",
  "space_group": "C2/m",
  "magmom_total_mub_per_fu": 0.00,
  "dos_at_fermi_per_ev_cell": 2.11,
  "lattice": [[6.712, 0.406, 0.000], [2.346, 3.547, 0.000], [1.173, 1.773, 5.844]],
  "species": ["Cu", "Ga", "Ga", "Ga", "Ga", "Ga", "Ga", "Ni"],
  "fractional_positions": [[0.000, 0.000, 0.000], [0.252, 0.868, 0.627], [0.744, 0.763, 0.000], [0.748, 0.505, 0.627], [0.748, 0.132, 0.373], [0.252, 0.495, 0.373], [0.256, 0.237, 0.000], [0.500, 0.500, 0.000]]
}

No. 12
{
  "formula": "Ga4CuNi7",
  "functional": "GGA-PBE",
  "state": "optimized geometry",
  "space_group": "C2/m",
  "magmom_total_mub_per_fu": 0.00,
  "dos_at_fermi_per_ev_cell": 7.80,
  "lattice": [[-1.046, -3.492, 2.409], [4.225, -5.926, -2.793], [3.230, -0.866, 4.109]],
  "species": ["Cu", "Ga", "Ga", "Ga", "Ga", "Ni", "Ni", "Ni", "Ni", "Ni", "Ni", "Ni"],
  "fractional_positions": [[0.000, 0.000, 0.000], [0.741, 0.677, 0.840], [0.411, 0.776, 0.402], [0.589, 0.224, 0.598], [0.259, 0.323, 0.160], [0.793, 0.916, 0.499], [0.931, 0.338, 0.799], [0.069, 0.662, 0.201], [0.638, 0.474, 0.249], [0.207, 0.084, 0.501], [0.362, 0.526, 0.751], [0.500, 0.000, 0.000]]
}

No. 13
{
  "formula": "Ga2CuNi3",
  "functional": "GGA-PBE",
  "state": "optimized geometry",
  "space_group": "P-3m1",
  "magmom_total_mub_per_fu": 0.00,
  "dos_at_fermi_per_ev_cell": 7.54,
  "e_above_lowest_polymorph_ev_per_atom": 0.000,
  "lattice": [[4.072, 0.000, 0.000], [-2.036, 3.526, 0.000], [0.000, 0.000, 10.026]],
  "species": ["Ni", "Ni", "Ni", "Ni", "Ni", "Ni", "Cu", "Cu", "Ga", "Ga", "Ga", "Ga"],
  "fractional_positions": [[0.667, 0.333, 0.079], [0.667, 0.333, 0.579], [0.333, 0.667, 0.421], [0.000, 0.000, 0.751], [0.333, 0.667, 0.921], [0.000, 0.000, 0.249], [0.333, 0.667, 0.668], [0.667, 0.333, 0.332], [0.000, 0.000, 0.500], [0.333, 0.667, 0.176], [0.000, 0.000, 0.000], [0.667, 0.333, 0.824]]
}

No. 14
{
  "formula": "GaCuNi",
  "functional": "GGA-PBE",
  "state": "optimized geometry",
  "space_group": "Cm",
  "magmom_total_mub_per_fu": 0.00,
  "dos_at_fermi_per_ev_cell": 2.24,
  "e_above_lowest_polymorph_ev_per_atom": 0.000,
  "lattice": [[-1.536, 2.145, -2.942], [-3.220, -1.594, -2.133], [-3.558, 1.806, 3.173]],
  "species": ["Ni", "Ni", "Ga", "Ga", "Cu", "Cu"],
  "fractional_positions": [[0.486, 0.549, 0.113], [0.807, 0.907, 0.805], [0.475, 0.572, 0.616], [0.152, 0.217, 0.991], [0.145, 0.232, 0.481], [0.817, 0.888, 0.303]]
}

No. 15
{
  "formula": "Ga3CuNi12",
  "functional": "GGA-PBE",
  "state": "optimized geometry",
  "space_group": "P4/mmm",
  "magmom_total_mub_per_fu": 3.77,
  "dos_at_fermi_per_ev_cell": 16.22,
  "lattice": [[3.574, 0.000, 0.000], [0.000, 3.574, 0.000], [0.000, 0.000, 14.186]],
  "species": ["Ga", "Ga", "Ga", "Ni", "Ni", "Ni", "Ni", "Ni", "Ni", "Ni", "Ni", "Ni", "Ni", "Ni", "Ni", "Cu"],
  "fractional_positions": [[0.000, 0.000, 0.500], [0.000, 0.000, 0.752], [0.000, 0.000, 0.248], [0.500, 0.000, 0.123], [0.000, 0.500, 0.626], [0.500, 0.500, 0.248], [0.500, 0.500, 0.752], [0.500, 0.000, 0.877], [0.500, 0.500, 0.000], [0.000, 0.500, 0.123], [0.000, 0.500, 0.877], [0.500, 0.000, 0.374], [0.500, 0.500, 0.500], [0.000, 0.500, 0.374], [0.500, 0.000, 0.626], [0.000, 0.000, 0.000]]
}

No. 16
{
  "formula": "GaCuNi",
  "functional": "GGA-PBE",
  "state": "optimized geometry",
  "space_group": "I4mm",
  "magmom_total_mub_per_fu": 0.00,
  "dos_at_fermi_per_ev_cell": 1.94,
  "e_above_lowest_polymorph_ev_per_atom": 0.056,
  "lattice": [[2.974, 0.000, 0.000], [0.000, 2.974, 0.000], [-1.487, -1.487, 4.193]],
  "species": ["Cu", "Ni", "Ga"],
  "fractional_positions": [[0.617, 0.617, 0.235], [0.289, 0.289, 0.577], [0.944, 0.944, 0.888]]
}

No. 17
{
  "formula": "GaCuNi",
  "functional": "GGA-PBE",
  "state": "optimized geometry",
  "space_group": "P3m1",
  "magmom_total_mub_per_fu": 0.00,
  "dos_at_fermi_per_ev_cell": 1.23,
  "e_above_lowest_polymorph_ev_per_atom": 0.060,
  "lattice": [[-0.641, 1.951, 1.665], [1.918, -1.923, 2.993], [2.002, 2.636, -2.318]],
  "species": ["Ga", "Ni", "Cu"],
  "fractional_positions": [[0.013, 0.000, 0.000], [0.703, 0.333, 0.667], [0.284, 0.667, 0.333]]
}

No. 18
{
  "formula": "GaCuNi6",
  "functional": "GGA-PBE",
  "state": "optimized geometry",
  "space_group": "C2/m",
  "magmom_total_mub_per_fu": 1.62,
  "dos_at_fermi_per_ev_cell": 13.24,
  "e_above_lowest_polymorph_ev_per_atom": 0.284,
  "lattice": [[-2.469, -2.710, -2.194], [2.249, -2.393, -2.734], [0.715, -5.533, 2.995]],
  "species": ["Ni", "Ni", "Ni", "Ni", "Ni", "Ni", "Cu", "Ga"],
  "fractional_positions": [[0.058, 0.537, 0.300], [0.463, 0.942, 0.700], [0.942, 0.463, 0.700], [0.537, 0.058, 0.300], [0.634, 0.634, 0.072], [0.366, 0.366, 0.928], [0.000, 0.000, 0.000], [0.500, 0.500, 0.500]]
}

No. 19
{
  "formula": "Ga2CuNi2",
  "functional": "GGA-PBE",
  "state": "optimized geometry",
  "space_group": "I4/mmm",
  "magmom_total_mub_per_fu": 0.00,
  "dos_at_fermi_per_ev_cell": 1.28,
  "e_above_lowest_polymorph_ev_per_atom": 0.302,
  "lattice": [[3.620, 0.000, 0.000], [0.000, 3.620, 0.000], [1.810, 1.810, 5.435]],
  "species": ["Ni", "Ni", "Ga", "Ga", "Cu"],
  "fractional_positions": [[0.603, 0.603, 0.793], [0.397, 0.397, 0.207], [0.750, 0.250, 0.500], [0.250, 0.750, 0.500], [0.000, 0.000, 0.000]]
}

No. 20
{
  "formula": "GaCu2Ni5",
  "functional": "GGA-PBE",
  "state": "optimized geometry",
  "space_group": "I4/mcm",
  "magmom_total_mub_per_fu": 0.60,
  "dos_at_fermi_per_ev_cell": 22.28,
  "e_above_lowest_polymorph_ev_per_atom": 0.191,
  "lattice": [[-3.182, 1.989, 4.862], [-3.749, -4.842, -0.474], [6.478, -1.204, 0.854]],
  "species": ["Ni", "Ni", "Ni", "Ni", "Ni", "Ni", "Ni", "Ni", "Ni", "Ni", "Ga", "Ga", "Cu", "Cu", "Cu", "Cu"],
  "fractional_positions": [[0.016, 0.516, 0.329], [0.984, 0.484, 0.671], [0.813, 0.016, 0.329], [0.000, 0.000, 0.000], [0.484, 0.687, 0.671], [0.313, 0.813, 0.329], [0.516, 0.313, 0.329], [0.187, 0.984, 0.671], [0.500, 0.500, 0.000], [0.687, 0.187, 0.671], [0.750, 0.750, 0.500], [0.250, 0.250, 0.500], [0.857, 0.643, 0.000], [0.643, 0.143, 0.000], [0.357, 0.857, 0.000], [0.143, 0.357, 0.000]]
}

no.,calculated total energy (eV/f.u.)
1,-43.680
2,-34.026
3,-32.101
4,-48.177
5,-35.076
6,-58.201
7,-55.905
8,-35.897
9,-13.483
10,-22.773
11,-29.030
12,-57.331
13,-29.281
14,-13.611
15,-85.765
16,-13.442
17,-13.430
18,-40.491
19,-21.403
20,-39.629